Entry 1:
# NaPmTlRh

A relaxed NaPmTlRh crystal (PBE-GGA, the Alexandria database).

Unit cell a=7.0544 b=7.0544 c=7.0544 alpha=90.00 beta=90.00 gamma=90.00
Closest atoms and distances in Å follow each position.
Fractional positions:
Na 0.0000 0.0000 0.0000  4 Tl 3.05, 4 Pm 3.05
Na 0.0000 0.5000 0.5000  4 Tl 3.05, 4 Pm 3.05
Na 0.5000 0.0000 0.5000  4 Tl 3.05, 4 Pm 3.05
Na 0.5000 0.5000 0.0000  4 Tl 3.05, 4 Pm 3.05
Pm 0.2500 0.2500 0.7500  4 Na 3.05, 4 Rh 3.05
Pm 0.2500 0.7500 0.2500  4 Na 3.05, 4 Rh 3.05
Pm 0.7500 0.2500 0.2500  4 Na 3.05, 4 Rh 3.05
Pm 0.7500 0.7500 0.7500  4 Na 3.05, 4 Rh 3.05
Tl 0.2500 0.2500 0.2500  4 Na 3.05, 4 Rh 3.05
Tl 0.2500 0.7500 0.7500  4 Na 3.05, 4 Rh 3.05
Tl 0.7500 0.2500 0.7500  4 Na 3.05, 4 Rh 3.05
Tl 0.7500 0.7500 0.2500  4 Na 3.05, 4 Rh 3.05
Rh 0.0000 0.0000 0.5000  4 Tl 3.05, 4 Pm 3.05
Rh 0.0000 0.5000 0.0000  4 Tl 3.05, 4 Pm 3.05
Rh 0.5000 0.0000 0.0000  4 Tl 3.05, 4 Pm 3.05
Rh 0.5000 0.5000 0.5000  4 Tl 3.05, 4 Pm 3.05

Its volume is 21.9 A^3/atom. The value obtained for the formation enthalpy at 0 K is -70.2 kJ/mol of formula units. As for the space group: F-43m (216).

Entry 2:
# NaPm2Ru

A relaxed NaPm2Ru crystal (PBE-GGA, the Alexandria database).

Unit cell a=4.0526 b=4.0526 c=28.1382 alpha=90.00 beta=90.00 gamma=120.00
Closest atoms and distances in Å follow each position.
Fractional positions:
Na 0.0000 0.0000 0.0000  6 Pm 3.94, 6 Na 4.05
Na 0.3333 0.6667 0.6667  6 Pm 3.94, 6 Na 4.05
Na 0.6667 0.3333 0.3333  6 Pm 3.94, 6 Na 4.05
Pm 0.0000 0.0000 0.2205  3 Ru 2.79
Pm 0.0000 0.0000 0.7795  3 Ru 2.79
Pm 0.3333 0.6667 0.4462  3 Ru 2.79
Pm 0.3333 0.6667 0.8872  3 Ru 2.79
Pm 0.6667 0.3333 0.1128  3 Ru 2.79
Pm 0.6667 0.3333 0.5538  3 Ru 2.79
Ru 0.0000 0.0000 0.5000  6 Pm 2.79
Ru 0.3333 0.6667 0.1667  6 Pm 2.79
Ru 0.6667 0.3333 0.8333  6 Pm 2.79

Its volume is 33.4 A^3/atom. The value obtained for the formation enthalpy at 0 K is -19.7 kJ/mol of formula units. As for the space group: R-3m (166).

Entry 3:
# NaPm2Ru

A relaxed NaPm2Ru crystal (PBE-GGA, the Alexandria database).

Unit cell a=7.2955 b=7.2955 c=7.2955 alpha=90.00 beta=90.00 gamma=90.00
Closest atoms and distances in Å follow each position.
Fractional positions:
Na 0.0000 0.0000 0.0000  8 Pm 3.16
Na 0.0000 0.5000 0.5000  8 Pm 3.16
Na 0.5000 0.0000 0.5000  8 Pm 3.16
Na 0.5000 0.5000 0.0000  8 Pm 3.16
Pm 0.2500 0.2500 0.2500  4 Na 3.16, 4 Ru 3.16
Pm 0.2500 0.2500 0.7500  4 Na 3.16, 4 Ru 3.16
Pm 0.2500 0.7500 0.2500  4 Na 3.16, 4 Ru 3.16
Pm 0.2500 0.7500 0.7500  4 Na 3.16, 4 Ru 3.16
Pm 0.7500 0.2500 0.2500  4 Na 3.16, 4 Ru 3.16
Pm 0.7500 0.2500 0.7500  4 Na 3.16, 4 Ru 3.16
Pm 0.7500 0.7500 0.2500  4 Na 3.16, 4 Ru 3.16
Pm 0.7500 0.7500 0.7500  4 Na 3.16, 4 Ru 3.16
Ru 0.0000 0.0000 0.5000  8 Pm 3.16
Ru 0.0000 0.5000 0.0000  8 Pm 3.16
Ru 0.5000 0.0000 0.0000  8 Pm 3.16
Ru 0.5000 0.5000 0.5000  8 Pm 3.16

Its volume is 24.3 A^3/atom. The value obtained for the formation enthalpy at 0 K is 20.7 kJ/mol of formula units. As for the space group: Fm-3m (225).

Entry 4:
# NaPm2Ru

A relaxed NaPm2Ru crystal (PBE-GGA, the Alexandria database).

Unit cell a=3.4793 b=3.4793 c=9.6230 alpha=90.00 beta=90.00 gamma=90.00
Closest atoms and distances in Å follow each position.
Fractional positions:
Na 0.0000 0.0000 0.0000  4 Na 3.48
Pm 0.5000 0.5000 0.3234  4 Ru 2.99
Pm 0.5000 0.5000 0.6766  4 Ru 2.99
Ru 0.0000 0.0000 0.5000  8 Pm 2.99

Its volume is 29.1 A^3/atom. The value obtained for the formation enthalpy at 0 K is -45.5 kJ/mol of formula units. As for the space group: P4/mmm (123).

Entry 5:
# NaPmSbRu

A relaxed NaPmSbRu crystal (PBE-GGA, the Alexandria database).

Unit cell a=6.9254 b=6.9254 c=6.9254 alpha=90.00 beta=90.00 gamma=90.00
Closest atoms and distances in Å follow each position.
Fractional positions:
Na 0.0000 0.0000 0.0000  4 Pm 3.00, 4 Sb 3.00
Na 0.0000 0.5000 0.5000  4 Pm 3.00, 4 Sb 3.00
Na 0.5000 0.0000 0.5000  4 Pm 3.00, 4 Sb 3.00
Na 0.5000 0.5000 0.0000  4 Pm 3.00, 4 Sb 3.00
Pm 0.2500 0.2500 0.2500  4 Na 3.00, 4 Ru 3.00
Pm 0.2500 0.7500 0.7500  4 Na 3.00, 4 Ru 3.00
Pm 0.7500 0.2500 0.7500  4 Na 3.00, 4 Ru 3.00
Pm 0.7500 0.7500 0.2500  4 Na 3.00, 4 Ru 3.00
Sb 0.2500 0.2500 0.7500  4 Na 3.00, 4 Ru 3.00
Sb 0.2500 0.7500 0.2500  4 Na 3.00, 4 Ru 3.00
Sb 0.7500 0.2500 0.2500  4 Na 3.00, 4 Ru 3.00
Sb 0.7500 0.7500 0.7500  4 Na 3.00, 4 Ru 3.00
Ru 0.0000 0.0000 0.5000  4 Sb 3.00, 4 Pm 3.00
Ru 0.0000 0.5000 0.0000  4 Sb 3.00, 4 Pm 3.00
Ru 0.5000 0.0000 0.0000  4 Sb 3.00, 4 Pm 3.00
Ru 0.5000 0.5000 0.5000  4 Sb 3.00, 4 Pm 3.00

Its volume is 20.8 A^3/atom. The calculation puts the uncorrected formation energy at -0.92 eV/f.u. As for the space group: F-43m (216).

Entry 6:
# NaPm3S4

A relaxed NaPm3S4 crystal (PBE-GGA, the Alexandria database).

Unit cell a=5.6982 b=5.6982 c=5.6982 alpha=90.00 beta=90.00 gamma=90.00
Closest atoms and distances in Å follow each position.
Fractional positions:
Na 0.0000 0.0000 0.0000  6 S 2.85
Pm 0.0000 0.5000 0.5000  6 S 2.85
Pm 0.5000 0.0000 0.5000  6 S 2.85
Pm 0.5000 0.5000 0.0000  6 S 2.85
S 0.0000 0.0000 0.5000  2 Na 2.85, 4 Pm 2.85
S 0.0000 0.5000 0.0000  2 Na 2.85, 4 Pm 2.85
S 0.5000 0.0000 0.0000  2 Na 2.85, 4 Pm 2.85
S 0.5000 0.5000 0.5000  6 Pm 2.85

Its volume is 23.1 A^3/atom. The calculation puts the uncorrected formation energy at -15.55 eV/f.u. As for the space group: Pm-3m (221).

Entry 7:
# NaPm5S6

A relaxed NaPm5S6 crystal (PBE-GGA, the Alexandria database).

Unit cell a=6.9803 b=6.9803 c=6.9966 alpha=99.59 beta=99.59 gamma=119.97
Closest atoms and distances in Å follow each position.
Fractional positions:
Na 0.0000 0.0000 0.0000  6 S 2.82-2.85
Pm 0.1639 0.8361 0.5000  6 S 2.84-2.88
Pm 0.3343 0.6657 0.0000  6 S 2.84-2.86
Pm 0.5000 0.5000 0.5000  6 S 2.85-2.89
Pm 0.6657 0.3343 0.0000  6 S 2.84-2.86
Pm 0.8361 0.1639 0.5000  6 S 2.84-2.88
S 0.0829 0.4153 0.2505  5 Pm 2.85-2.88, 1 Na 2.85
S 0.2484 0.2484 0.7544  1 Na 2.82, 5 Pm 2.84-2.89
S 0.4153 0.0829 0.2505  5 Pm 2.85-2.88, 1 Na 2.85
S 0.5847 0.9171 0.7495  5 Pm 2.85-2.88, 1 Na 2.85
S 0.7516 0.7516 0.2456  1 Na 2.82, 5 Pm 2.84-2.89
S 0.9171 0.5847 0.7495  5 Pm 2.85-2.88, 1 Na 2.85

Its volume is 23.2 A^3/atom. The calculation puts the uncorrected formation energy at -23.58 eV/f.u. As for the space group: C2/m (12).

Entry 8:
# NaPm4S5

A relaxed NaPm4S5 crystal (PBE-GGA, the Alexandria database).

Unit cell a=10.7190 b=10.7190 c=10.7190 alpha=158.26 beta=149.25 gamma=37.97
Closest atoms and distances in Å follow each position.
Fractional positions:
Na 0.0000 0.0000 0.0000  6 S 2.84-2.89
Pm 0.2029 0.2029 0.0000  6 S 2.84-2.87
Pm 0.4001 0.4001 0.0000  6 S 2.84-2.86
Pm 0.5999 0.5999 0.0000  6 S 2.84-2.86
Pm 0.7971 0.7971 0.0000  6 S 2.84-2.87
S 0.1021 0.6021 0.5000  4 Pm 2.84-2.87, 2 Na 2.89
S 0.3016 0.8016 0.5000  6 Pm 2.84
S 0.5000 0.0000 0.5000  2 Na 2.84, 4 Pm 2.86
S 0.6984 0.1984 0.5000  6 Pm 2.84
S 0.8979 0.3979 0.5000  4 Pm 2.84-2.87, 2 Na 2.89

Its volume is 23.3 A^3/atom. The calculation puts the uncorrected formation energy at -19.54 eV/f.u. As for the space group: Immm (71).

Entry 9:
# NaPm4S6

A relaxed NaPm4S6 crystal (PBE-GGA, the Alexandria database).

Unit cell a=7.0292 b=7.0292 c=20.8773 alpha=90.00 beta=90.00 gamma=146.78
Closest atoms and distances in Å follow each position.
Fractional positions:
Na 0.1516 0.8484 0.7500  6 S 2.84-3.16
Na 0.8484 0.1516 0.2500  6 S 2.84-3.16
Pm 0.1023 0.8977 0.1393  5 S 2.65-2.89
Pm 0.1023 0.8977 0.3607  5 S 2.65-2.89
Pm 0.3690 0.6310 0.0454  6 S 2.73-2.90
Pm 0.3690 0.6310 0.4546  6 S 2.73-2.90
Pm 0.6310 0.3690 0.5454  6 S 2.73-2.90
Pm 0.6310 0.3690 0.9546  6 S 2.73-2.90
Pm 0.8977 0.1023 0.6393  5 S 2.65-2.89
Pm 0.8977 0.1023 0.8607  5 S 2.65-2.89
S 0.0000 0.0000 0.0000  4 Pm 2.84
S 0.0000 0.0000 0.5000  4 Pm 2.84
S 0.1990 0.8010 0.2500  2 Pm 2.65, 2 Na 2.84
S 0.2740 0.7260 0.5794  5 Pm 2.87-2.90
S 0.2740 0.7260 0.9206  5 Pm 2.87-2.90
S 0.4649 0.5351 0.1609  3 Pm 2.73-2.77
S 0.4649 0.5351 0.3391  3 Pm 2.73-2.77
S 0.5351 0.4649 0.6609  3 Pm 2.73-2.77
S 0.5351 0.4649 0.8391  3 Pm 2.73-2.77
S 0.7260 0.2740 0.0794  5 Pm 2.87-2.90
S 0.7260 0.2740 0.4206  5 Pm 2.87-2.90
S 0.8010 0.1990 0.7500  2 Pm 2.65, 2 Na 2.84

Its volume is 25.7 A^3/atom. The calculation puts the uncorrected formation energy at -21.03 eV/f.u. As for the space group: Cmcm (63).

Entry 10:
# NaPm3S6

A relaxed NaPm3S6 crystal (PBE-GGA, the Alexandria database).

Unit cell a=7.0893 b=7.6062 c=11.1289 alpha=90.00 beta=124.82 gamma=90.00
Closest atoms and distances in Å follow each position.
Fractional positions:
Na 0.0000 0.0000 0.0000  6 S 2.78-2.88
Na 0.0000 0.5000 0.5000  6 S 2.78-2.88
Pm 0.2049 0.0980 0.7336  6 S 2.79-3.02
Pm 0.2049 0.4020 0.2336  6 S 2.79-3.02
Pm 0.5000 0.0000 0.5000  6 S 2.73-2.84
Pm 0.5000 0.5000 0.0000  6 S 2.73-2.84
Pm 0.7951 0.5980 0.7664  6 S 2.79-3.02
Pm 0.7951 0.9020 0.2664  6 S 2.79-3.02
S 0.1068 0.1871 0.4209  3 Pm 2.79-3.02, 1 Na 2.79, 1 S 2.95
S 0.1068 0.3129 0.9209  3 Pm 2.79-3.02, 1 Na 2.79, 1 S 2.95
S 0.2173 0.6959 0.4008  1 Na 2.78, 3 Pm 2.84-2.92, 1 S 2.95
S 0.2173 0.8041 0.9008  1 Na 2.78, 3 Pm 2.84-2.92, 1 S 2.95
S 0.4469 0.1049 0.2473  3 Pm 2.73-2.82, 1 Na 2.88
S 0.4469 0.3951 0.7473  3 Pm 2.73-2.82, 1 Na 2.88
S 0.5531 0.6049 0.2527  3 Pm 2.73-2.82, 1 Na 2.88
S 0.5531 0.8951 0.7527  3 Pm 2.73-2.82, 1 Na 2.88
S 0.7827 0.1959 0.0992  1 Na 2.78, 3 Pm 2.84-2.92, 1 S 2.95
S 0.7827 0.3041 0.5992  1 Na 2.78, 3 Pm 2.84-2.92, 1 S 2.95
S 0.8932 0.6871 0.0791  3 Pm 2.79-3.02, 1 Na 2.79, 1 S 2.95
S 0.8932 0.8129 0.5791  3 Pm 2.79-3.02, 1 Na 2.79, 1 S 2.95

Its volume is 24.6 A^3/atom. The calculation puts the uncorrected formation energy at -14.87 eV/f.u. As for the space group: P2_1/c (14).